1.
A relaxed structure of Nd2ThTl2Ag2. Source: Alexandria, functional PBE-GGA.

POSCAR file:
```
Nd2ThTl2Ag2
1.0
2.4686 1.4253 8.9038
-2.4686 1.4253 8.9038
0.0000 -2.8505 8.9038
Nd Th Tl Ag
2 1 2 2
Cartesian
0.0000 0.0000 3.5850
0.0000 0.0000 23.1263
0.0000 0.0000 0.0000
0.0000 0.0000 7.1786
0.0000 0.0000 19.5328
0.0000 0.0000 11.3832
0.0000 0.0000 15.3282
```

The density of states at the Fermi level comes out at 0.68 states/eV/atom. The mass density comes out at 10115 kg/m³.


2.
A relaxed structure of Nd5TcHg2. Source: Alexandria, functional PBE-GGA.

POSCAR file:
```
Nd5TcHg2
1.0
7.8757 0.0000 0.0000
0.0000 12.2240 0.0000
0.0000 0.0000 4.8805
Nd Tc Hg
10 2 4
Cartesian
0.0000 0.0000 0.0000
1.1334 3.6171 0.0000
1.4479 6.9999 2.4403
2.4900 0.8879 2.4403
2.8045 9.7291 0.0000
3.9378 6.1120 0.0000
5.0712 2.4949 0.0000
5.3857 11.3361 2.4403
6.4278 5.2241 2.4403
6.7423 8.6069 0.0000
0.0000 6.1120 0.0000
3.9378 0.0000 0.0000
0.6078 10.1776 2.4403
3.3301 4.0656 2.4403
4.5456 8.1584 2.4403
7.2679 2.0464 2.4403
```

The density of states at the Fermi level comes out at 1.21 states/eV/atom. The mass density comes out at 8626 kg/m³.


3.
A relaxed structure of TbLuZnCo. Source: Alexandria, functional PBE-GGA.

POSCAR file:
```
TbLuZnCo
1.0
0.0000 3.4141 3.4141
3.4141 0.0000 3.4141
3.4141 3.4141 0.0000
Tb Lu Zn Co
1 1 1 1
Cartesian
0.0000 0.0000 0.0000
3.4141 3.4141 3.4141
1.7070 1.7070 1.7070
5.1211 5.1211 5.1211
```

The density of states at the Fermi level comes out at 0.73 states/eV/atom. The mass density comes out at 9561 kg/m³.


| no. | formation energy from the elements (eV/atom) |
| --- | --- |
| 1 | -0.11 |
| 2 | -0.22 |
| 3 | -0.25 |